[1]
LiPt2Se: relaxed, PBE-GGA.

```
LiPt2Se
1.0
-1.966 1.966 8.571
1.966 -1.966 8.571
1.966 1.966 -8.571
Li Pt Se
2 4 2
Cartesian
0.000 0.000 0.000
0.000 1.966 4.286
0.983 -0.967 6.428
0.998 0.983 2.143
0.983 2.933 -2.143
0.967 0.983 10.714
1.966 0.000 4.286
0.000 0.000 8.571
```

Properties
The symmetry is I-42d (122).

[2]
LiPt2Se: relaxed, PBE-GGA.

```
LiPt2Se
1.0
2.795 0.000 0.000
0.000 4.838 0.000
-0.103 0.000 4.711
Li Pt Se
1 2 1
Cartesian
0.000 0.000 0.000
0.703 2.419 1.159
1.989 2.419 3.552
1.346 0.000 2.356
```

Properties
The symmetry is P2/m (10).

Number 1: formation energy without anion corrections -0.28 eV/atom, calculated total energy -4.652 eV/atom, total magnetization 0.00 μB per formula unit. Number 2: formation energy without anion corrections -0.28 eV/atom, calculated total energy -4.653 eV/atom, total magnetization 0.00 μB per formula unit.